# 1
Below is a geometry-optimized PrNd2In6 structure, with properties calculated at the PBE level.

Cell and atoms, written as POSCAR:
```
PrNd2In6
1.0
-2.356 -2.917 -2.833
5.860 -3.014 -5.667
4.258 -7.569 0.355
Nd In Pr
2 6 1
Cartesian
3.532 -4.353 -2.353
4.230 -9.147 -5.792
6.717 -6.800 -6.379
2.025 -3.916 -5.447
1.046 -6.700 -1.766
4.191 -5.868 -5.239
3.571 -7.632 -2.906
5.737 -9.584 -2.698
0.000 0.000 0.000
```

Results
Crystal system = orthorhombic
Volume = 269.3 Å³ per cell
Formation energy = -3.0 eV per formula unit
VASP energy = -33.75 eV for the cell shown
ΔE to the lowest computed polymorph = 3.16 kcal/mol of atoms

---

# 2
Below is a geometry-optimized Ce2InBr8 structure, with properties calculated at the PBE level.

Cell and atoms, written as POSCAR:
```
Ce2InBr8
1.0
8.137 -0.010 0.891
1.010 6.942 2.357
0.453 -0.697 7.354
Br Ce In
8 2 1
Cartesian
6.531 2.685 4.832
3.239 -0.052 5.479
3.068 3.550 5.769
1.651 1.391 2.310
3.585 4.693 2.376
6.014 1.543 8.226
6.360 6.287 5.123
7.948 4.845 8.292
5.505 4.275 7.149
4.094 1.960 3.453
0.000 0.000 0.000
```

Results
Raw formation energy = -1608.3 kJ/mol of formula units
Crystal system = monoclinic
Volume = 425.4 Å³ per cell
VASP energy = -44.66 eV for the cell shown
ΔE to the lowest computed polymorph = 0.00 kcal/mol of atoms

---

# 3
Below is a geometry-optimized K12Br3F5 structure, with properties calculated at the PBE level.

Cell and atoms, written as POSCAR:
```
K12Br3F5
1.0
15.574 0.000 0.000
-5.191 14.683 0.000
-5.191 -7.341 12.716
K F Br
48 20 12
Cartesian
1.679 2.133 11.715
-1.848 -0.879 6.218
10.595 -2.974 7.844
10.169 1.636 0.139
9.634 0.879 6.218
6.870 7.142 2.348
6.108 1.933 11.369
2.382 10.074 5.011
-6.643 3.951 8.845
-0.748 1.275 2.487
-0.917 5.408 1.347
4.978 2.732 7.705
11.299 7.541 2.348
3.512 9.275 1.347
6.108 -2.133 11.715
4.047 5.965 5.357
-3.344 8.616 10.229
0.748 9.496 8.706
2.809 -2.732 7.705
-1.144 -3.951 8.845
1.679 -1.933 11.369
-6.108 -0.200 10.368
8.931 -5.328 11.229
-4.978 5.706 12.576
-0.917 9.475 1.001
6.335 11.292 3.871
6.643 -1.377 7.359
8.535 -1.275 2.487
-2.809 2.974 7.844
6.335 2.014 1.486
5.939 6.066 10.229
11.834 3.391 3.871
1.144 1.377 7.359
-5.404 10.315 4.872
-4.443 6.462 6.497
0.213 4.609 5.011
-3.740 12.669 1.486
-1.144 5.328 11.229
3.344 2.154 4.010
4.443 -2.154 4.010
8.000 13.047 0.139
-1.451 8.718 5.357
3.512 5.208 1.001
8.000 4.368 4.872
-1.679 0.200 10.368
1.848 5.187 8.706
7.039 8.221 6.497
-2.809 -5.706 12.576
9.085 -0.918 7.947
1.298 4.588 11.126
6.489 -4.588 11.126
3.893 11.012 3.179
6.489 6.424 4.768
3.893 2.753 1.589
-1.298 3.671 3.179
7.787 0.000 0.000
1.298 -3.671 9.537
2.596 3.671 6.358
-2.596 -3.671 6.358
-5.191 3.671 6.358
-1.298 11.930 1.589
0.000 0.000 0.000
6.489 3.671 9.537
-3.893 8.259 4.768
-1.298 0.918 7.947
5.191 7.341 0.000
5.191 -3.671 6.358
-2.596 7.341 0.000
-1.298 6.424 7.947
3.893 0.000 9.537
-3.893 -2.753 11.126
11.680 0.000 3.179
6.489 0.918 4.768
3.893 8.259 7.947
1.298 7.341 3.179
9.085 10.094 1.589
-6.489 7.341 9.537
1.298 -0.918 4.768
9.085 4.588 1.589
-3.893 2.753 11.126
```

Results
Raw formation energy = -3343.9 kJ/mol of formula units
Crystal system = cubic
Volume = 2907.6 Å³ per cell
VASP energy = -248.81 eV for the cell shown

---

# 4
Below is a geometry-optimized TaInAu2 structure, with properties calculated at the PBE level.

Cell and atoms, written as POSCAR:
```
TaInAu2
1.0
-0.711 2.018 -2.018
-1.957 -2.870 -2.181
-5.298 1.248 3.114
Au In Ta
2 1 1
Cartesian
-2.627 -0.121 -1.339
-5.234 1.233 3.076
-2.629 0.619 1.545
-5.423 0.537 0.304
```

Results
Crystal system = orthorhombic
Volume = 75.6 Å³ per cell
Formation energy = 0.4 eV per formula unit
VASP energy = -20.79 eV for the cell shown

---

Magnetic moment (Bohr magnetons per cell)
0.00, 1.03, 0.00, 0.00